No. 1
{
  "formula": "BaNdNpO6",
  "functional": "PBE",
  "state": "relaxed",
  "space_group": "P-31c (163)",
  "total_magnetization_mub_per_cell": 0.000,
  "formation_energy_uncorrected_ev_per_atom": -2.9410,
  "energy_ev_per_atom": -8.428,
  "lattice": [[6.0453, 0.0000, 0.0000], [-3.0227, 5.2354, 0.0000], [0.0000, 0.0000, 10.7188]],
  "species": ["Ba", "Ba", "Nd", "Nd", "Np", "Np", "O", "O", "O", "O", "O", "O", "O", "O", "O", "O", "O", "O"],
  "frac_coords": [[0.0000, 0.0000, 0.0000], [0.0000, 0.0000, 0.5000], [0.3333, 0.6667, 0.2500], [0.6667, 0.3333, 0.7500], [0.3333, 0.6667, 0.7500], [0.6667, 0.3333, 0.2500], [0.0412, 0.3951, 0.6472], [0.0412, 0.6461, 0.8528], [0.3539, 0.3951, 0.8528], [0.3539, 0.9588, 0.6472], [0.3951, 0.0412, 0.1472], [0.3951, 0.3539, 0.3528], [0.6049, 0.6461, 0.6472], [0.6049, 0.9588, 0.8528], [0.6461, 0.0412, 0.3528], [0.6461, 0.6049, 0.1472], [0.9588, 0.3539, 0.1472], [0.9588, 0.6049, 0.3528]]
}



No. 2
{
  "formula": "MnHg2Se",
  "functional": "PBE",
  "state": "relaxed",
  "space_group": "Cmmm (65)",
  "total_magnetization_mub_per_cell": 4.375,
  "formation_energy_uncorrected_ev_per_atom": 0.3372,
  "energy_ev_per_atom": -2.977,
  "dos_ef_per_ev_atom": 0.640,
  "lattice": [[2.0165, -2.7467, 0.0000], [2.0165, 2.7467, 0.0000], [0.0000, 0.0000, 8.0002]],
  "species": ["Mn", "Hg", "Hg", "Se"],
  "frac_coords": [[0.0000, 0.0000, 0.0000], [0.5000, 0.5000, 0.2392], [0.5000, 0.5000, 0.7608], [0.0000, 0.0000, 0.5000]]
}



No. 3
{
  "formula": "CaLaGe",
  "functional": "PBE",
  "state": "relaxed",
  "space_group": "C2/m (12)",
  "total_magnetization_mub_per_cell": 0.001,
  "energy_ev_per_atom": -4.003,
  "ef_mev_per_atom": -154,
  "dos_ef_per_ev_atom": 1.007,
  "lattice": [[7.6410, -1.8284, 0.0000], [7.6410, 1.8284, 0.0000], [-6.2275, 0.0000, 7.6451]],
  "species": ["Ca", "Ca", "La", "La", "Ge", "Ge"],
  "frac_coords": [[0.1046, 0.1046, 0.4251], [0.8954, 0.8954, 0.5749], [0.1600, 0.1600, 0.0809], [0.8400, 0.8400, 0.9191], [0.1404, 0.1404, 0.7592], [0.8596, 0.8596, 0.2408]]
}